Entry 1:
A geometry-optimized Na4Sm3MnO8 structure, computed with GGA+U.

The symmetry is C2/m, No. 12. Its calculated total energy is -104.20 eV per cell.

abc: 6.8427 6.8427 6.8736
angles: 120.01 120.01 60.64
With the nearest neighbours (Å) after each atom.
Element x y z (fractional)
Na: 0.0000 0.0000 0.0000  6 O 2.55-2.82
Na: 0.0000 0.5000 0.0000  6 O 2.49-2.56
Na: 0.5000 0.0000 0.0000  6 O 2.49-2.56
Na: 0.5000 0.5000 0.0000  6 O 2.50-2.53
Sm: 0.0000 0.0000 0.5000  6 O 2.33-2.35
Sm: 0.0000 0.5000 0.5000  6 O 2.32-2.40
Sm: 0.5000 0.0000 0.5000  6 O 2.32-2.40
Mn: 0.5000 0.5000 0.5000  2 O 2.00
O: 0.2411 0.2411 0.7171  3 Sm 2.32-2.33, 3 Na 2.50-2.56
O: 0.2448 0.7395 0.7218  1 Mn 2.33, 2 Sm 2.34-2.35, 3 Na 2.49-2.55
O: 0.2605 0.7552 0.2782  1 Mn 2.33, 2 Sm 2.34-2.35, 3 Na 2.49-2.55
O: 0.2925 0.2925 0.3082  1 Mn 2.00
O: 0.7075 0.7075 0.6918  1 Mn 2.00
O: 0.7395 0.2448 0.7218  1 Mn 2.33, 2 Sm 2.34-2.35, 3 Na 2.49-2.55
O: 0.7552 0.2605 0.2782  1 Mn 2.33, 2 Sm 2.34-2.35, 3 Na 2.49-2.55
O: 0.7589 0.7589 0.2829  3 Sm 2.32-2.33, 3 Na 2.50-2.56


Entry 2:
A geometry-optimized NaSmMn4O12 structure, computed with GGA+U.

The symmetry is P4/mmm, No. 123. Its calculated total energy is -116.91 eV per cell. As for the density of states at the Fermi level: 0.630 states/eV per atom.

abc: 5.3195 5.3195 7.5927
angles: 90.00 90.00 90.00
With the nearest neighbours (Å) after each atom.
Element x y z (fractional)
Na: 0.0000 0.0000 0.0000  12 O 2.66-2.81
Sm: 0.5000 0.5000 0.5000  12 O 2.53-2.66
Mn: 0.0000 0.5000 0.2432  6 O 1.85-1.95
Mn: 0.0000 0.5000 0.7568  6 O 1.85-1.95
Mn: 0.5000 0.0000 0.2432  6 O 1.85-1.95
Mn: 0.5000 0.0000 0.7568  6 O 1.85-1.95
O: 0.0000 0.5000 0.0000  2 Mn 1.85
O: 0.0000 0.5000 0.5000  2 Mn 1.95
O: 0.2598 0.2598 0.2667  2 Mn 1.89
O: 0.2598 0.2598 0.7333  2 Mn 1.89
O: 0.2598 0.7402 0.2667  2 Mn 1.89
O: 0.2598 0.7402 0.7333  2 Mn 1.89
O: 0.5000 0.0000 0.0000  2 Mn 1.85
O: 0.5000 0.0000 0.5000  2 Mn 1.95
O: 0.7402 0.2598 0.2667  2 Mn 1.89
O: 0.7402 0.2598 0.7333  2 Mn 1.89
O: 0.7402 0.7402 0.2667  2 Mn 1.89
O: 0.7402 0.7402 0.7333  2 Mn 1.89


Entry 3:
A geometry-optimized NaSm2MnO5 structure, computed with GGA+U.

The symmetry is P4/mbm, No. 127. Its calculated total energy is -131.50 eV per cell. As for the density of states at the Fermi level: 0.000 states/eV per atom.

abc: 6.6408 6.6408 5.7666
angles: 90.00 90.00 90.00
With the nearest neighbours (Å) after each atom.
Element x y z (fractional)
Na: 0.0000 0.0000 0.0000  10 O 2.88-2.93
Na: 0.5000 0.5000 0.0000  10 O 2.88-2.93
Sm: 0.1778 0.3222 0.5000  4 O 2.30-2.44
Sm: 0.3222 0.8222 0.5000  4 O 2.30-2.44
Sm: 0.6778 0.1778 0.5000  4 O 2.30-2.44
Sm: 0.8222 0.6778 0.5000  4 O 2.30-2.44
Mn: 0.0000 0.5000 0.0000  4 O 1.89
Mn: 0.5000 0.0000 0.0000  4 O 1.89
O: 0.0000 0.0000 0.5000  4 Sm 2.44
O: 0.1363 0.6363 0.2415  1 Mn 1.89
O: 0.1363 0.6363 0.7585  1 Mn 1.89
O: 0.3637 0.1363 0.2415  1 Mn 1.89
O: 0.3637 0.1363 0.7585  1 Mn 1.89
O: 0.5000 0.5000 0.5000  4 Sm 2.44
O: 0.6363 0.8637 0.2415  1 Mn 1.89
O: 0.6363 0.8637 0.7585  1 Mn 1.89
O: 0.8637 0.3637 0.2415  1 Mn 1.89
O: 0.8637 0.3637 0.7585  1 Mn 1.89


Entry 4:
A geometry-optimized Na2SmMnO4 structure, computed with GGA+U.

The symmetry is C2/c, No. 15. Its calculated total energy is -103.01 eV per cell. As for the density of states at the Fermi level: 0.000 states/eV per atom.

abc: 6.5460 6.5460 6.7451
angles: 118.68 118.68 88.79
With the nearest neighbours (Å) after each atom.
Element x y z (fractional)
Na: 0.0000 0.0000 0.0000  6 O 2.42-2.70
Na: 0.0000 0.0000 0.5000  6 O 2.42-2.70
Na: 0.0000 0.5000 0.0000  4 O 2.33-2.39
Na: 0.5000 0.0000 0.5000  4 O 2.33-2.39
Sm: 0.0000 0.5000 0.5000  6 O 2.31-2.37
Sm: 0.5000 0.0000 0.0000  6 O 2.31-2.37
Mn: 0.5000 0.5000 0.0000  4 O 1.98-2.03
Mn: 0.5000 0.5000 0.5000  4 O 1.98-2.03
O: 0.2684 0.7096 0.9707  1 Mn 2.03
O: 0.2755 0.2779 0.4760  1 Mn 1.98
O: 0.2779 0.2755 0.9760  1 Mn 1.98
O: 0.2904 0.7316 0.5293  1 Mn 2.03
O: 0.7096 0.2684 0.4707  1 Mn 2.03
O: 0.7221 0.7245 0.0240  1 Mn 1.98
O: 0.7245 0.7221 0.5240  1 Mn 1.98
O: 0.7316 0.2904 0.0293  1 Mn 2.03